A plane-wave DFT calculation with PBE was carried out for a relaxed K3CeF8 crystal.

## Properties
Total magnetic moment ... 1.12 Bohr magnetons per cell
SG ... Pm-3m
Formation energy (no corrections) ... -3.0073 eV/atom

a = 6.0402 Å, b = 6.0402 Å, c = 6.0402 Å
α = 90.00°, β = 90.00°, γ = 90.00°
Positions (direct):
F 0.2188 0.2188 0.2188
F 0.7812 0.7812 0.7812
K 0.5000 0.5000 0.0000
F 0.2188 0.2188 0.7812
F 0.2188 0.7812 0.2188
K 0.0000 0.5000 0.5000
F 0.2188 0.7812 0.7812
F 0.7812 0.7812 0.2188
Ce 0.0000 0.0000 0.0000
K 0.5000 0.0000 0.5000
F 0.7812 0.2188 0.2188
F 0.7812 0.2188 0.7812